Here is a relaxed PaTlGa2 crystal from Alexandria via LeMat-Bulk. Energies are from PBE-GGA.

Cell and atoms, written as CIF:
```
data_PaTlGa2
_chemical_formula_sum 'Pa3 Tl3 Ga6'
_symmetry_space_group_name_H-M 'R -3 m'
_symmetry_Int_Tables_number 166
_symmetry_space_group_name_Hall '-R 3 2"'
_cell_length_a 4.7258
_cell_length_b 4.7258
_cell_length_c 13.9497
_cell_angle_alpha 90.00
_cell_angle_beta 90.00
_cell_angle_gamma 120.00
loop_
_atom_site_label
_atom_site_fract_x
_atom_site_fract_y
_atom_site_fract_z
Pa1 0.0000 0.0000 0.0000
Tl1 0.0000 0.0000 0.5000
Ga1 0.0000 0.0000 0.2445
```

Computed properties:
total energy	-52.47	eV for the cell shown
polymorph energy (0 for the lowest one)	263	meV/atom
E_form	0.1068	eV per atom